# 1
VASP calculation (PBE) on an optimized crystal structure of NaEu3O.

Cell: 5.235 5.235 5.235 Å, 90.00 90.00 90.00°
Atoms (fractional coordinates):
Eu: 0.000 0.500 0.000
Eu: 0.000 0.000 0.500
Eu: 0.500 0.000 0.000
Na: 0.500 0.500 0.500
O: 0.000 0.000 0.000

Output
* VASP energy: -8.387 eV/atom
* E_form (uncorrected): -0.97 eV/atom

=====

# 2
VASP calculation (PBE) on an optimized crystal structure of NaEu2O.

Cell: 3.663 3.663 10.266 Å, 79.72 79.72 60.00°
Atoms (fractional coordinates):
Eu: 0.120 0.120 0.640
Eu: 0.880 0.880 0.360
Na: 0.000 0.000 0.000
O: 0.500 0.500 0.500

Output
* VASP energy: -7.932 eV/atom
* E_form (uncorrected): -1.23 eV/atom

=====

# 3
VASP calculation (PBE) on an optimized crystal structure of NaEuO.

Cell: 3.674 3.674 6.337 Å, 90.00 90.00 120.00°
Atoms (fractional coordinates):
Eu: 0.667 0.333 0.470
Na: 0.000 0.000 0.906
O: 0.333 0.667 0.624

Output
* VASP energy: -7.151 eV/atom
* E_form (uncorrected): -1.63 eV/atom

=====

# 4
VASP calculation (PBE) on an optimized crystal structure of NaEuP2O7.

Cell: 8.611 5.352 13.713 Å, 68.36 90.00 90.00°
Atoms (fractional coordinates):
Na: 0.885 0.640 0.078
Na: 0.385 0.360 0.422
Na: 0.115 0.360 0.922
Na: 0.615 0.640 0.578
Eu: 0.695 0.962 0.267
Eu: 0.195 0.038 0.233
Eu: 0.305 0.038 0.733
Eu: 0.805 0.962 0.767
P: 0.494 0.579 0.182
P: 0.994 0.421 0.318
P: 0.506 0.421 0.818
P: 0.006 0.579 0.682
P: 0.243 0.730 0.033
P: 0.743 0.270 0.467
P: 0.757 0.270 0.967
P: 0.257 0.730 0.533
O: 0.426 0.688 0.064
O: 0.926 0.312 0.436
O: 0.574 0.312 0.936
O: 0.074 0.688 0.564
O: 0.923 0.250 0.259
O: 0.423 0.750 0.241
O: 0.077 0.750 0.741
O: 0.577 0.250 0.759
O: 0.668 0.631 0.175
O: 0.168 0.369 0.325
O: 0.332 0.369 0.825
O: 0.832 0.631 0.675
O: 0.457 0.277 0.232
O: 0.957 0.723 0.268
O: 0.543 0.723 0.768
O: 0.043 0.277 0.732
O: 0.840 0.541 0.914
O: 0.340 0.459 0.586
O: 0.160 0.459 0.086
O: 0.660 0.541 0.414
O: 0.740 0.188 0.586
O: 0.240 0.812 0.914
O: 0.260 0.812 0.414
O: 0.760 0.188 0.086
O: 0.823 0.056 0.929
O: 0.323 0.944 0.571
O: 0.177 0.944 0.071
O: 0.677 0.056 0.429

Output
* VASP energy: -7.649 eV/atom
* E_form (uncorrected): -2.46 eV/atom

=====

# 5
VASP calculation (PBE) on an optimized crystal structure of NaTbEuSbO6.

Cell: 5.919 5.919 5.919 Å, 60.00 60.00 60.00°
Atoms (fractional coordinates):
Na: 0.250 0.250 0.250
Tb: 0.500 0.500 0.500
Eu: 0.750 0.750 0.750
Sb: 0.000 0.000 0.000
O: 0.237 0.763 0.237
O: 0.763 0.237 0.763
O: 0.237 0.763 0.763
O: 0.763 0.237 0.237
O: 0.237 0.237 0.763
O: 0.763 0.763 0.237

Output
* VASP energy: -7.242 eV/atom
* E_form (uncorrected): -2.23 eV/atom

=====

# 6
VASP calculation (PBE) on an optimized crystal structure of NaEuZrSbO6.

Cell: 5.770 5.770 5.770 Å, 60.00 60.00 60.00°
Atoms (fractional coordinates):
Na: 0.750 0.750 0.750
Eu: 0.250 0.250 0.250
Zr: 0.500 0.500 0.500
Sb: 0.000 0.000 0.000
O: 0.244 0.756 0.244
O: 0.756 0.244 0.756
O: 0.244 0.756 0.756
O: 0.756 0.244 0.244
O: 0.244 0.244 0.756
O: 0.756 0.756 0.244

Output
* VASP energy: -7.785 eV/atom
* E_form (uncorrected): -2.38 eV/atom